1.
CeGeH2Rh: relaxed, PBE.

Space-group type: Cmcm (63)
Volume, Å³/cell: 128

Cell and atoms, written as extended XYZ:
```
10
Lattice="2.028 -5.319 0.000 2.028 5.319 0.000 0.000 0.000 5.942" Properties=species:S:1:pos:R:3 pbc="T T T"
Ce 2.028 3.095 4.456
Ce 2.028 -3.095 1.485
Ge 2.028 4.484 1.485
Ge 2.028 -4.484 4.456
H 2.028 1.702 0.375
H 2.028 1.702 2.596
H 2.028 -1.702 3.346
H 2.028 -1.702 5.567
Rh 2.028 0.000 0.000
Rh 2.028 0.000 2.971
```

---

2.
Ce2Ge2HRu2: relaxed, PBE.

Space-group type: I4/mmm (139)
Volume, Å³/cell: 249

Cell and atoms, written as extended XYZ:
```
14
Lattice="4.153 0.000 0.000 0.000 4.153 0.000 0.000 0.000 14.465" Properties=species:S:1:pos:R:3 pbc="T T T"
Ce 0.000 0.000 2.331
Ce 0.000 0.000 12.134
Ce 2.076 2.076 4.901
Ce 2.076 2.076 9.563
Ge 0.000 0.000 5.674
Ge 0.000 0.000 8.791
Ge 2.076 2.076 1.559
Ge 2.076 2.076 12.906
H 0.000 0.000 0.000
H 2.076 2.076 7.232
Ru 0.000 2.076 0.000
Ru 0.000 2.076 7.232
Ru 2.076 0.000 0.000
Ru 2.076 0.000 7.232
```

---

3.
CeGe2HRu2: relaxed, PBE.

Space-group type: P4/mmm (123)
Volume, Å³/cell: 91

Cell and atoms, written as extended XYZ:
```
6
Lattice="4.155 0.000 0.000 0.000 4.155 0.000 0.000 0.000 5.281" Properties=species:S:1:pos:R:3 pbc="T T T"
Ce 0.000 0.000 0.000
Ge 2.078 2.078 1.235
Ge 2.078 2.078 4.046
H 0.000 0.000 2.641
Ru 0.000 2.078 2.641
Ru 2.078 0.000 2.641
```

---

4.
Ce2Ge2H4Ru: relaxed, PBE.

Space-group type: I4/mmm (139)
Volume, Å³/cell: 127

Cell and atoms, written as extended XYZ:
```
9
Lattice="-2.895 2.895 3.776 2.895 -2.895 3.776 2.895 2.895 -3.776" Properties=species:S:1:pos:R:3 pbc="T T T"
Ce 2.895 0.000 1.888
Ce 0.000 2.895 1.888
Ge 0.000 0.000 1.272
Ge 0.000 0.000 6.280
H 1.667 1.667 0.000
H 1.228 -1.228 3.776
H -1.228 1.228 3.776
H 1.228 1.228 3.776
Ru 0.000 0.000 3.776
```

---

5.
CeTc2Ge2H: relaxed, PBE.

Space-group type: P4/mmm (123)
Volume, Å³/cell: 93

Cell and atoms, written as extended XYZ:
```
6
Lattice="4.155 0.000 0.000 0.000 4.155 0.000 0.000 0.000 5.378" Properties=species:S:1:pos:R:3 pbc="T T T"
Ce 0.000 0.000 0.000
Tc 0.000 2.077 2.689
Tc 2.077 0.000 2.689
Ge 2.077 2.077 1.230
Ge 2.077 2.077 4.148
H 0.000 0.000 2.689
```

---

6.
Ce4Th2Ge3H2: relaxed, PBE.

Space-group type: I4/mmm (139)
Volume, Å³/cell: 247

Cell and atoms, written as extended XYZ:
```
11
Lattice="-2.221 2.221 12.495 2.221 -2.221 12.495 2.221 2.221 -12.495" Properties=species:S:1:pos:R:3 pbc="T T T"
Ce 2.221 0.000 2.010
Ce 2.221 0.000 10.485
Ce 0.000 2.221 2.010
Ce 0.000 2.221 10.485
Th 0.000 0.000 5.074
Th 0.000 0.000 19.916
Ge 0.000 0.000 8.203
Ge 0.000 0.000 12.495
Ge 0.000 0.000 16.787
H 0.000 0.000 2.738
H 0.000 0.000 22.252
```

---

7.
CeYGeH: relaxed, PBE.

Space-group type: P4/nmm (129)
Volume, Å³/cell: 149

Cell and atoms, written as extended XYZ:
```
8
Lattice="4.089 0.000 0.000 0.000 4.089 0.000 0.000 0.000 8.898" Properties=species:S:1:pos:R:3 pbc="T T T"
Ce 1.022 3.067 0.000
Ce 3.067 1.022 0.000
Y 1.022 1.022 3.357
Y 3.067 3.067 5.540
Ge 1.022 1.022 6.650
Ge 3.067 3.067 2.248
H 1.022 3.067 4.449
H 3.067 1.022 4.449
```

---

8.
CeZnGeH: relaxed, PBE.

Space-group type: F-43m (216)
Volume, Å³/cell: 281

Cell and atoms, written as extended XYZ:
```
16
Lattice="6.548 0.000 0.000 0.000 6.548 0.000 0.000 0.000 6.548" Properties=species:S:1:pos:R:3 pbc="T T T"
Ce 0.000 0.000 0.000
Ce 0.000 3.274 3.274
Ce 3.274 0.000 3.274
Ce 3.274 3.274 0.000
Zn 0.000 0.000 3.274
Zn 0.000 3.274 0.000
Zn 3.274 0.000 0.000
Zn 3.274 3.274 3.274
Ge 1.637 1.637 4.911
Ge 1.637 4.911 1.637
Ge 4.911 1.637 1.637
Ge 4.911 4.911 4.911
H 1.637 1.637 1.637
H 1.637 4.911 4.911
H 4.911 1.637 4.911
H 4.911 4.911 1.637
```

---

no.,E_tot (eV/atom)
1,-5.550
2,-6.751
3,-6.736
4,-5.117
5,-6.977
6,-5.890
7,-5.770
8,-3.983